1.
# Pu2IBr2O2

Pu2IBr2O2 after structural relaxation (PBE-GGA, Alexandria via LeMat-Bulk).

Properties
- E_tot: -8.24 eV/atom
- Uncorrected formation energy: -2.03 eV per atom

Structure (POSCAR):
```
Pu2IBr2O2
1.0
3.860 0.000 0.000
-1.930 3.342 0.000
0.000 0.000 13.679
Pu I Br O
2 1 2 2
direct
0.667 0.333 0.200
0.333 0.667 0.800
0.000 0.000 0.000
0.000 0.000 0.350
0.000 0.000 0.650
0.667 0.333 0.817
0.333 0.667 0.183
```

***

2.
# Rb2TlWSe4

Rb2TlWSe4 after structural relaxation (PBE-GGA, Alexandria via LeMat-Bulk).

Properties
- E_tot: -4.50 eV/atom
- Uncorrected formation energy: -0.60 eV per atom

Structure (POSCAR):
```
Rb2TlWSe4
1.0
-7.154 -1.887 1.469
-1.495 -4.875 5.825
-4.518 8.748 8.604
Rb Tl W Se
4 2 2 8
direct
0.186 0.000 0.628
0.814 0.000 0.372
0.564 0.500 0.872
0.936 0.500 0.128
0.750 0.500 0.500
0.000 0.000 0.000
0.250 0.500 0.500
0.500 0.000 0.000
0.355 0.801 0.108
0.264 0.199 0.892
0.844 0.801 0.892
0.537 0.199 0.108
0.395 0.699 0.392
0.486 0.301 0.608
0.906 0.699 0.608
0.213 0.301 0.392
```